Below is crystalline Ta3NbHg at its relaxed geometry, with properties calculated at the PBE level.

```
Ta3NbHg
1.0
-0.618 4.081 2.760
-1.566 -2.800 3.789
4.671 -0.399 1.636
Ta Hg Nb
3 1 1
direct
0.000 0.000 0.500
0.000 0.500 0.000
0.500 0.000 0.000
0.000 0.000 0.000
0.500 0.500 0.500
```

For the energy relative to the lowest polymorph listed for this composition, the calculation gives 647 meV per atom. The space-group type is Pm-3m. For the formation energy, the calculation gives 2.25 eV/atom. The size of the total moment comes out at 0.0 μB per formula unit. As for the crystal system: cubic. The calculation puts the calculated total energy at -6.934 eV/atom.



Below is crystalline CrCoGePdS at its relaxed geometry, with properties calculated at the PBE level.

```
CrCoGePdS
1.0
-0.469 3.404 0.482
-1.098 -0.549 2.808
12.898 -2.408 4.573
S Co Ge Pd Cr
2 2 2 2 2
direct
0.527 0.000 0.921
0.527 0.500 0.421
0.694 0.000 0.088
0.694 0.500 0.588
0.253 0.000 0.647
0.253 0.500 0.147
0.882 0.000 0.776
0.882 0.500 0.276
0.067 0.500 0.961
0.067 0.000 0.461
```

For the energy relative to the lowest polymorph listed for this composition, the calculation gives 61 meV per atom. The space-group type is Imm2. The size of the total moment comes out at 3.1 μB per formula unit. As for the crystal system: orthorhombic. The calculation puts the calculated total energy at -6.368 eV/atom.



Below is crystalline Ca3TlP at its relaxed geometry, with properties calculated at the PBE level.

```
Ca3TlP
1.0
5.245 0.000 3.297
-2.622 4.542 3.297
-2.622 -4.542 3.297
P Ca Tl
1 3 1
direct
0.907 0.907 0.907
0.635 0.635 0.103
0.635 0.103 0.635
0.103 0.635 0.635
0.596 0.596 0.596
```

For the energy relative to the lowest polymorph listed for this composition, the calculation gives 598 meV per atom. The space-group type is R3m. For the formation energy, the calculation gives -0.12 eV/atom. The size of the total moment comes out at 0.0 μB per formula unit. As for the crystal system: trigonal. The calculation puts the calculated total energy at -2.879 eV/atom.



Below is crystalline InSeI2 at its relaxed geometry, with properties calculated at the PBE level.

```
InSeI2
1.0
-5.545 0.559 0.950
-2.418 5.102 -0.296
-3.491 1.230 -4.274
In Se I
1 1 2
direct
0.500 0.500 0.500
0.000 0.000 0.000
0.750 0.750 0.750
0.250 0.250 0.250
```

For the energy relative to the lowest polymorph listed for this composition, the calculation gives 458 meV per atom. The space-group type is Fm-3m. The size of the total moment comes out at 1.9 μB per formula unit. As for the crystal system: cubic. The calculation puts the calculated total energy at -2.077 eV/atom.



Below is crystalline HWSe2 at its relaxed geometry, with properties calculated at the PBE level.

```
HWSe2
1.0
3.120 -1.068 2.922
-0.886 -2.879 3.216
1.809 -4.017 -0.078
Se W H
2 1 1
direct
0.750 0.750 0.750
0.250 0.250 0.250
0.500 0.500 0.500
0.000 0.000 0.000
```

For the energy relative to the lowest polymorph listed for this composition, the calculation gives 723 meV per atom. The space-group type is Fm-3m. The size of the total moment comes out at 1.4 μB per formula unit. As for the crystal system: cubic. The calculation puts the calculated total energy at -5.215 eV/atom.



Below is crystalline Y5Zn at its relaxed geometry, with properties calculated at the PBE level.

```
Y5Zn
1.0
3.195 -5.534 0.000
3.195 5.534 0.000
0.000 0.000 5.812
Y Zn
5 1
direct
0.500 0.000 0.500
0.000 0.500 0.500
0.667 0.333 0.000
0.500 0.500 0.500
0.333 0.667 0.000
0.000 0.000 0.000
```

For the energy relative to the lowest polymorph listed for this composition, the calculation gives 706 meV per atom. The space-group type is P6/mmm. For the formation energy, the calculation gives 0.60 eV/atom. The size of the total moment comes out at 0.0 μB per formula unit. As for the crystal system: hexagonal. The calculation puts the calculated total energy at -4.997 eV/atom.



Below is crystalline AcSmHo14 at its relaxed geometry, with properties calculated at the PBE level.

```
AcSmHo14
1.0
7.262 -0.098 0.000
-3.536 6.343 0.000
0.000 0.000 11.315
Ac Ho Sm
1 14 1
direct
0.165 0.835 0.000
0.167 0.833 0.500
0.334 0.169 0.744
0.666 0.831 0.000
0.667 0.834 0.500
0.335 0.665 0.255
0.334 0.169 0.256
0.831 0.666 0.256
0.335 0.665 0.745
0.667 0.333 0.500
0.166 0.333 0.500
0.831 0.666 0.744
0.834 0.166 0.749
0.169 0.334 0.000
0.834 0.166 0.251
0.665 0.335 0.000
```

The space-group type is Amm2. For the formation energy, the calculation gives 0.02 eV/atom. The size of the total moment comes out at 0.0 μB per formula unit. As for the crystal system: orthorhombic. The calculation puts the calculated total energy at -4.538 eV/atom.



Below is crystalline H5Rh2Pb2 at its relaxed geometry, with properties calculated at the PBE level.

```
H5Rh2Pb2
1.0
-2.323 -2.152 -4.568
3.071 -0.977 -1.102
-2.063 -8.792 7.375
H Rh Pb
10 4 4
direct
0.677 0.876 0.983
0.517 0.155 0.518
0.019 0.134 0.482
0.305 0.604 0.425
0.342 0.831 0.031
0.196 0.301 0.971
0.682 0.605 0.424
0.232 0.685 0.575
0.860 0.390 0.016
0.854 0.681 0.576
0.002 0.620 0.452
0.534 0.670 0.548
0.525 0.442 0.992
0.014 0.946 0.008
0.777 0.269 0.752
0.758 0.011 0.248
0.288 0.786 0.788
0.247 0.493 0.213
```

The space-group type is P1. The size of the total moment comes out at 0.0 μB per formula unit. As for the crystal system: triclinic. The calculation puts the calculated total energy at -4.278 eV/atom.



Below is crystalline SmTiAlIr2 at its relaxed geometry, with properties calculated at the PBE level.

```
SmTiAlIr2
1.0
-3.725 0.806 1.401
0.442 -2.878 2.831
3.848 4.936 1.505
Ir Sm Al Ti
2 1 1 1
direct
0.616 0.616 0.231
0.384 0.384 0.769
0.000 0.000 0.000
0.250 0.750 0.500
0.750 0.250 0.500
```

The space-group type is I-4m2. For the formation energy, the calculation gives -0.87 eV/atom. The size of the total moment comes out at 0.0 μB per formula unit. As for the crystal system: tetragonal. The calculation puts the calculated total energy at -7.683 eV/atom.



Below is crystalline GaSeCl3 at its relaxed geometry, with properties calculated at the PBE level.

```
GaSeCl3
1.0
15.387 -11.174 1.931
-8.191 13.044 1.434
2.381 -0.483 7.589
Se Cl Ga
4 12 4
direct
0.438 0.421 0.402
0.847 0.356 0.553
0.562 0.579 0.598
0.153 0.644 0.447
0.501 0.854 0.885
0.499 0.146 0.115
0.522 0.331 0.817
0.643 0.066 0.236
0.991 0.674 0.279
0.009 0.326 0.721
0.163 0.119 0.205
0.058 0.881 0.855
0.478 0.669 0.183
0.837 0.881 0.795
0.357 0.934 0.764
0.942 0.119 0.145
0.292 0.192 0.888
0.708 0.808 0.112
0.676 0.007 0.995
0.324 0.993 0.005
```

For the energy relative to the lowest polymorph listed for this composition, the calculation gives 0 meV per atom. The space-group type is P-1. The size of the total moment comes out at 0.5 μB per formula unit. As for the crystal system: triclinic. The calculation puts the calculated total energy at -3.220 eV/atom.



Below is crystalline Cs2PmIO6 at its relaxed geometry, with properties calculated at the PBE level.

```
Cs2PmIO6
1.0
6.040 0.000 0.000
0.000 6.849 0.000
0.000 -3.425 5.932
O Cs Pm I
6 2 1 1
direct
0.194 0.871 0.129
0.806 0.129 0.258
0.194 0.871 0.742
0.806 0.742 0.871
0.194 0.258 0.129
0.806 0.129 0.871
0.880 0.667 0.333
0.120 0.333 0.667
0.500 0.000 0.000
0.000 0.000 0.000
```

The space-group type is P-3m1. The size of the total moment comes out at 0.0 μB per formula unit. As for the crystal system: trigonal. The calculation puts the calculated total energy at -5.284 eV/atom.



Below is crystalline Si2SnPb2 at its relaxed geometry, with properties calculated at the PBE level.

```
Si2SnPb2
1.0
-3.966 6.304 0.144
-3.898 -2.317 -5.910
-3.038 -1.975 2.778
Si Sn Pb
4 2 4
direct
0.113 0.387 0.000
0.613 0.113 0.000
0.887 0.613 0.000
0.387 0.887 0.000
0.000 0.000 0.000
0.500 0.500 0.000
0.184 0.684 0.500
0.316 0.184 0.500
0.816 0.316 0.500
0.684 0.816 0.500
```

For the energy relative to the lowest polymorph listed for this composition, the calculation gives 92 meV per atom. The space-group type is P4/mbm. The size of the total moment comes out at 0.0 μB per formula unit. As for the crystal system: tetragonal. The calculation puts the calculated total energy at -4.130 eV/atom.



Below is crystalline CaPm4Ni2 at its relaxed geometry, with properties calculated at the PBE level.

```
CaPm4Ni2
1.0
-5.342 4.165 -1.787
-1.248 -3.757 -5.787
-2.831 -3.146 8.960
Pm Ni Ca
8 4 2
direct
0.868 0.127 0.608
0.330 0.684 0.932
0.498 0.352 0.432
0.730 0.491 0.109
0.801 0.747 0.867
0.460 0.013 0.752
0.988 0.042 0.251
0.368 0.816 0.367
0.582 0.091 0.073
0.232 0.241 0.573
0.622 0.927 0.240
0.564 0.368 0.740
0.176 0.248 0.027
0.030 0.601 0.528
```

The space-group type is P1. For the formation energy, the calculation gives -0.07 eV/atom. The size of the total moment comes out at 0.0 μB per formula unit. As for the crystal system: triclinic. The calculation puts the calculated total energy at -4.720 eV/atom.



Below is crystalline GdMgIr at its relaxed geometry, with properties calculated at the PBE level.

```
GdMgIr
1.0
3.606 0.000 0.000
0.000 4.527 0.000
0.000 -2.263 3.920
Gd Mg Ir
1 1 1
direct
0.667 0.333 0.667
0.167 0.667 0.333
0.167 0.000 0.000
```

The space-group type is P-6m2. For the formation energy, the calculation gives -0.40 eV/atom. The size of the total moment comes out at 7.0 μB per formula unit. As for the crystal system: hexagonal. The calculation puts the calculated total energy at -8.578 eV/atom.



Below is crystalline AgHPd3 at its relaxed geometry, with properties calculated at the PBE level.

```
AgHPd3
1.0
4.191 0.000 3.009
-2.096 3.630 3.009
-2.096 -3.630 3.009
Pd Ag H
6 2 2
direct
0.000 0.500 0.750
0.500 0.250 0.000
0.750 0.000 0.500
0.500 0.750 0.000
0.250 0.000 0.500
0.000 0.500 0.250
0.500 0.500 0.500
0.000 0.000 0.000
0.750 0.750 0.750
0.250 0.250 0.250
```

For the energy relative to the lowest polymorph listed for this composition, the calculation gives 130 meV per atom. The space-group type is R-3c. The size of the total moment comes out at 0.0 μB per formula unit. As for the crystal system: trigonal. The calculation puts the calculated total energy at -4.299 eV/atom.



Below is crystalline ErMg4Sc3 at its relaxed geometry, with properties calculated at the PBE level.

```
ErMg4Sc3
1.0
-4.030 -2.565 1.922
-0.279 -4.067 -6.012
6.397 -6.819 4.315
Mg Sc Er
8 6 2
direct
0.002 0.242 0.750
0.500 0.242 0.000
0.998 0.758 0.250
0.002 0.758 0.750
0.500 0.242 0.500
0.500 0.758 0.500
0.500 0.758 0.000
0.998 0.242 0.250
0.502 0.500 0.750
0.498 0.000 0.250
0.498 0.500 0.250
0.502 0.000 0.750
0.000 0.000 0.500
0.000 0.000 0.000
0.000 0.500 0.000
0.000 0.500 0.500
```

The space-group type is Pmma. For the formation energy, the calculation gives -0.04 eV/atom. The size of the total moment comes out at 0.0 μB per formula unit. As for the crystal system: orthorhombic. The calculation puts the calculated total energy at -3.785 eV/atom.



Below is crystalline Pr2Nd6SmDy at its relaxed geometry, with properties calculated at the PBE level.

```
Pr2Nd6SmDy
1.0
9.493 -2.109 -2.189
0.714 8.732 -2.054
0.714 -2.376 8.650
Nd Pr Dy Sm
12 4 2 2
direct
0.620 0.497 0.705
0.689 0.016 0.574
0.380 0.503 0.295
0.120 0.705 0.497
0.555 0.747 0.120
0.311 0.984 0.426
0.945 0.880 0.253
0.445 0.253 0.880
0.055 0.120 0.747
0.880 0.295 0.503
0.811 0.426 0.984
0.189 0.574 0.016
0.542 0.194 0.294
0.042 0.294 0.194
0.958 0.706 0.806
0.458 0.806 0.706
0.750 0.592 0.408
0.250 0.408 0.592
0.750 0.018 0.982
0.250 0.982 0.018
```

The space-group type is C2/c. For the formation energy, the calculation gives 0.11 eV/atom. The size of the total moment comes out at 0.0 μB per formula unit. As for the crystal system: monoclinic. The calculation puts the calculated total energy at -4.636 eV/atom.



Below is crystalline Tb5Er3Sc2 at its relaxed geometry, with properties calculated at the PBE level.

```
Tb5Er3Sc2
1.0
-5.406 3.616 1.442
-0.320 0.857 12.041
3.519 8.123 8.213
Er Tb Sc
6 10 4
direct
0.750 0.000 0.000
0.623 0.631 0.124
0.250 0.000 0.000
0.877 0.876 0.369
0.377 0.369 0.876
0.123 0.124 0.631
0.630 0.266 0.474
0.492 0.758 0.758
0.870 0.526 0.734
0.992 0.758 0.758
0.008 0.242 0.242
0.750 0.500 0.500
0.370 0.734 0.526
0.250 0.500 0.500
0.130 0.474 0.266
0.508 0.242 0.242
0.120 0.795 0.965
0.380 0.035 0.205
0.880 0.205 0.035
0.620 0.965 0.795
```

For the energy relative to the lowest polymorph listed for this composition, the calculation gives 346 meV per atom. The space-group type is Ibam. For the formation energy, the calculation gives 0.38 eV/atom. The size of the total moment comes out at 0.0 μB per formula unit. As for the crystal system: orthorhombic. The calculation puts the calculated total energy at -4.567 eV/atom.



Below is crystalline Mn2Pt5Rh4 at its relaxed geometry, with properties calculated at the PBE level.

```
Mn2Pt5Rh4
1.0
-1.766 4.682 -1.893
-5.044 1.547 0.887
0.183 4.732 5.550
Pt Rh Mn
5 4 2
direct
0.710 0.219 0.827
0.290 0.781 0.173
0.000 0.000 0.500
0.219 0.710 0.827
0.781 0.290 0.173
0.651 0.651 0.475
0.349 0.349 0.525
0.276 0.276 0.201
0.724 0.724 0.799
0.800 0.800 0.131
0.200 0.200 0.869
```

The space-group type is C2/m. For the formation energy, the calculation gives 0.05 eV/atom. The size of the total moment comes out at 5.1 μB per formula unit. As for the crystal system: monoclinic. The calculation puts the calculated total energy at -7.036 eV/atom.



Below is crystalline Sm2CoP2N6 at its relaxed geometry, with properties calculated at the PBE level.

```
Sm2CoP2N6
1.0
5.385 0.000 0.000
2.692 4.663 0.000
2.692 1.554 5.133
N P Co Sm
6 2 1 2
direct
0.759 0.243 0.755
0.241 0.757 0.245
0.243 0.243 0.755
0.757 0.241 0.245
0.243 0.759 0.755
0.757 0.757 0.245
0.570 0.570 0.289
0.430 0.430 0.711
0.000 0.000 0.000
0.784 0.784 0.649
0.216 0.216 0.351
```

The space-group type is R-3m. The size of the total moment comes out at 0.9 μB per formula unit. As for the crystal system: trigonal. The calculation puts the calculated total energy at -7.588 eV/atom.



Below is crystalline La2DyZn2In2 at its relaxed geometry, with properties calculated at the PBE level.

```
La2DyZn2In2
1.0
4.738 0.000 0.000
2.369 4.103 0.000
2.369 1.368 9.400
La Zn Dy In
2 2 1 2
direct
0.129 0.129 0.612
0.871 0.871 0.388
0.609 0.609 0.172
0.391 0.391 0.828
0.000 0.000 0.000
0.269 0.269 0.193
0.731 0.731 0.807
```

The space-group type is R-3m. For the formation energy, the calculation gives -0.32 eV/atom. The size of the total moment comes out at 0.0 μB per formula unit. As for the crystal system: trigonal. The calculation puts the calculated total energy at -3.531 eV/atom.



no.,Fermi-level density of states (states/eV/cell)
1,5.97
2,7.37
3,0.71
4,3.37
5,2.22
6,8.65
7,26.01
8,6.61
9,3.27
10,1.58
11,0.00
12,4.34
13,15.79
14,1.59
15,4.86
16,20.93
17,30.25
18,35.65
19,16.56
20,5.44
21,4.84